First-principles (GGA-PBE) data for a relaxed SrPaO4 crystal, as listed in Alexandria.

Output
formation energy from raw total energies	-3035	meV/atom

Lattice parameters (Å, degrees): 3.8339 3.8339 5.9485 90.00 90.00 90.00
Last column: nearest neighbours and their distance in Å.
Space group P4/mmm (No. 123)
One atom of each set of equivalent atoms:
Sr1 0.0000 0.0000 0.0000 [1 per cell]  8 O 2.56
Pa1 0.5000 0.5000 0.5000 [1 per cell]  8 O 2.31
O1 0.0000 0.5000 0.2840 [4 per cell]  2 Pa 2.31, 2 Sr 2.56, 1 O 2.57